1.
Here is a relaxed structure of Ac2LaOs from Alexandria. Energies are from PBE.

Output
* excess energy over the best structure of this formula in the dataset: 0.06 eV per formula unit
* formation energy from the elements: -0.066 eV/atom
* DOS(E_F): 9.68 states/eV per cell
* energy: -6.159 eV per atom
* total magnetic moment: 0.00 μB per formula unit

Cell lengths 6.9954, 6.9954, 10.1281 Å; angles 90.00, 90.00, 145.50 degrees
Last column: nearest neighbours and their distance in Å.
Element x y z (fractional)
Ac 0.1455 0.8545 0.5716  3 Os 3.16-3.49
Ac 0.1455 0.8545 0.9284  3 Os 3.16-3.49
Ac 0.8545 0.1455 0.0716  3 Os 3.16-3.49
Ac 0.8545 0.1455 0.4284  3 Os 3.16-3.49
La 0.4039 0.5961 0.7500  2 Os 2.82
La 0.5961 0.4039 0.2500  2 Os 2.82
Os 0.2388 0.7612 0.2500  2 La 2.82, 4 Ac 3.16
Os 0.7612 0.2388 0.7500  2 La 2.82, 4 Ac 3.16



2.
Here is a relaxed structure of AcLaOs from Alexandria. Energies are from PBE.

Output
* excess energy over the best structure of this formula in the dataset: 0.00 eV per formula unit
* formation energy from the elements: -0.039 eV/atom
* DOS(E_F): 2.66 states/eV per cell
* energy: -6.794 eV per atom
* total magnetic moment: 0.00 μB per formula unit

Cell lengths 5.0907, 5.0907, 5.0907 Å; angles 60.00, 60.00, 60.00 degrees
Last column: nearest neighbours and their distance in Å.
Element x y z (fractional)
Ac 0.0000 0.0000 0.0000  4 Os 3.12
La 0.5000 0.5000 0.5000  4 Os 3.12
Os 0.7500 0.7500 0.7500  4 La 3.12, 4 Ac 3.12



3.
Here is a relaxed structure of AcLaOs from Alexandria. Energies are from PBE.

Output
* excess energy over the best structure of this formula in the dataset: 0.24 eV per formula unit
* formation energy from the elements: 0.041 eV/atom
* DOS(E_F): 4.27 states/eV per cell
* energy: -6.714 eV per atom
* total magnetic moment: 0.00 μB per formula unit

Cell lengths 3.6441, 7.2447, 7.6965 Å; angles 103.91, 103.62, 90.14 degrees
Last column: nearest neighbours and their distance in Å.
Element x y z (fractional)
Ac 0.1232 0.0630 0.2450  4 Os 3.18-3.19, 1 Ac 3.55
Ac 0.8768 0.9370 0.7550  4 Os 3.18-3.19, 1 Ac 3.55
La 0.1180 0.5597 0.2361  4 Os 3.02-3.04
La 0.8820 0.4403 0.7639  4 Os 3.02-3.04
Os 0.5004 0.2642 0.0005  4 La 3.02-3.04, 4 Ac 3.18-3.19
Os 0.4996 0.7358 0.9995  4 La 3.02-3.04, 4 Ac 3.18-3.19



4.
Here is a relaxed structure of Ac3La2Os2 from Alexandria. Energies are from PBE.

Output
* formation energy from the elements: -0.074 eV/atom
* DOS(E_F): 5.65 states/eV per cell
* energy: -6.451 eV per atom
* total magnetic moment: 0.00 μB per formula unit

Cell lengths 6.8875, 6.8875, 9.4022 Å; angles 112.25, 112.25, 34.70 degrees
Last column: nearest neighbours and their distance in Å.
Element x y z (fractional)
Ac 0.0000 0.0000 0.0000  4 Os 3.27, 2 Ac 3.63
Ac 0.1199 0.1199 0.4210  3 Os 3.07-3.26
Ac 0.8801 0.8801 0.5790  3 Os 3.07-3.26
La 0.3188 0.3188 0.1894  2 Os 2.82
La 0.6812 0.6812 0.8106  2 Os 2.82
Os 0.3138 0.3138 0.7695  2 La 2.82, 2 Ac 3.07
Os 0.6862 0.6862 0.2305  2 La 2.82, 2 Ac 3.07



5.
Here is a relaxed structure of Ac3La3Os2 from Alexandria. Energies are from PBE.

Output
* formation energy from the elements: -0.086 eV/atom
* DOS(E_F): 28.71 states/eV per cell
* energy: -6.282 eV per atom
* total magnetic moment: 0.00 μB per formula unit

Cell lengths 10.7214, 10.7214, 10.7214 Å; angles 83.91, 83.91, 83.91 degrees
Last column: nearest neighbours and their distance in Å.
Element x y z (fractional)
Ac 0.0841 0.2577 0.9084  3 Os 3.07-3.10
Ac 0.0916 0.9159 0.7423  3 Os 3.07-3.10
Ac 0.2522 0.4246 0.5822  1 Os 2.86
Ac 0.2577 0.9084 0.0841  3 Os 3.07-3.10
Ac 0.4178 0.7478 0.5754  1 Os 2.86
Ac 0.4246 0.5822 0.2522  1 Os 2.86
Ac 0.5754 0.4178 0.7478  1 Os 2.86
Ac 0.5822 0.2522 0.4246  1 Os 2.86
Ac 0.7423 0.0916 0.9159  3 Os 3.07-3.10
Ac 0.7478 0.5754 0.4178  1 Os 2.86
Ac 0.9084 0.0841 0.2577  3 Os 3.07-3.10
Ac 0.9159 0.7423 0.0916  3 Os 3.07-3.10
La 0.0741 0.7353 0.4048  2 Os 2.81-2.83
La 0.0910 0.4086 0.2527  2 Os 2.78-2.79
La 0.2527 0.0910 0.4086  2 Os 2.78-2.79
La 0.2647 0.5952 0.9259  2 Os 2.81-2.83
La 0.4048 0.0741 0.7353  2 Os 2.81-2.83
La 0.4086 0.2527 0.0910  2 Os 2.78-2.79
La 0.5914 0.7473 0.9090  2 Os 2.78-2.79
La 0.5952 0.9259 0.2647  2 Os 2.81-2.83
La 0.7353 0.4048 0.0741  2 Os 2.81-2.83
La 0.7473 0.9090 0.5914  2 Os 2.78-2.79
La 0.9090 0.5914 0.7473  2 Os 2.78-2.79
La 0.9259 0.2647 0.5952  2 Os 2.81-2.83
Os 0.1729 0.1729 0.1729  3 La 2.78, 3 Ac 3.10
Os 0.1736 0.1765 0.6438  3 La 2.79-2.83, 3 Ac 2.86-3.08
Os 0.1765 0.6438 0.1736  3 La 2.79-2.83, 3 Ac 2.86-3.08
Os 0.3562 0.8264 0.8235  3 La 2.79-2.83, 3 Ac 2.86-3.08
Os 0.6438 0.1736 0.1765  3 La 2.79-2.83, 3 Ac 2.86-3.08
Os 0.8235 0.3562 0.8264  3 La 2.79-2.83, 3 Ac 2.86-3.08
Os 0.8264 0.8235 0.3562  3 La 2.79-2.83, 3 Ac 2.86-3.08
Os 0.8271 0.8271 0.8271  3 La 2.78, 3 Ac 3.10



6.
Here is a relaxed structure of AcLa2Os from Alexandria. Energies are from PBE.

Output
* excess energy over the best structure of this formula in the dataset: 0.68 eV per formula unit
* formation energy from the elements: 0.046 eV/atom
* DOS(E_F): 3.58 states/eV per cell
* energy: -6.253 eV per atom
* total magnetic moment: 0.00 μB per formula unit

Cell lengths 3.6244, 3.6244, 9.9814 Å; angles 90.00, 90.00, 90.00 degrees
Last column: nearest neighbours and their distance in Å.
Element x y z (fractional)
Ac 0.0000 0.0000 0.0000  4 Ac 3.62
La 0.5000 0.5000 0.3297  4 Os 3.08, 1 La 3.40
La 0.5000 0.5000 0.6703  4 Os 3.08, 1 La 3.40
Os 0.0000 0.0000 0.5000  8 La 3.08



7.
Here is a relaxed structure of AcLa4Os from Alexandria. Energies are from PBE.

Output
* excess energy over the best structure of this formula in the dataset: 0.16 eV per formula unit
* formation energy from the elements: -0.041 eV/atom
* DOS(E_F): 16.42 states/eV per cell
* energy: -5.882 eV per atom
* total magnetic moment: 0.00 μB per formula unit

Cell lengths 6.2619, 7.2705, 9.4801 Å; angles 90.00, 101.88, 90.00 degrees
Last column: nearest neighbours and their distance in Å.
Element x y z (fractional)
Ac 0.2082 0.2500 0.4522  7 La 3.61-3.85
Ac 0.7918 0.7500 0.5478  7 La 3.61-3.85
La 0.1228 0.2500 0.0641  1 Os 2.82
La 0.2074 0.7500 0.3204  1 Os 2.85
La 0.3577 0.5124 0.8012  2 Os 2.89-2.93
La 0.3577 0.9876 0.8012  2 Os 2.89-2.93
La 0.6423 0.0124 0.1988  2 Os 2.89-2.93
La 0.6423 0.4876 0.1988  2 Os 2.89-2.93
La 0.7926 0.2500 0.6796  1 Os 2.85
La 0.8772 0.7500 0.9359  1 Os 2.82
Os 0.3311 0.7500 0.0470  6 La 2.82-2.93
Os 0.6689 0.2500 0.9530  6 La 2.82-2.93



8.
Here is a relaxed structure of AcLaOs from Alexandria. Energies are from PBE.

Output
* excess energy over the best structure of this formula in the dataset: 0.01 eV per formula unit
* formation energy from the elements: -0.036 eV/atom
* DOS(E_F): 2.55 states/eV per cell
* energy: -6.791 eV per atom
* total magnetic moment: 0.00 μB per formula unit

Cell lengths 7.8382, 7.8382, 7.4729 Å; angles 117.62, 117.62, 32.02 degrees
Last column: nearest neighbours and their distance in Å.
Element x y z (fractional)
Ac 0.1312 0.1312 0.3021  3 Os 2.96-2.97
Ac 0.8688 0.8688 0.6979  3 Os 2.96-2.97
La 0.3575 0.3575 0.1885  3 Os 2.84-2.85
La 0.6425 0.6425 0.8115  3 Os 2.84-2.85
Os 0.2501 0.2501 0.7545  3 La 2.84-2.85, 3 Ac 2.96-2.97
Os 0.7499 0.7499 0.2455  3 La 2.84-2.85, 3 Ac 2.96-2.97



9.
Here is a relaxed structure of AcLa2Os from Alexandria. Energies are from PBE.

Output
* excess energy over the best structure of this formula in the dataset: 0.00 eV per formula unit
* formation energy from the elements: -0.125 eV/atom
* DOS(E_F): 16.69 states/eV per cell
* energy: -6.423 eV per atom
* total magnetic moment: 0.00 μB per formula unit

Cell lengths 7.5963, 10.2309, 6.6738 Å; angles 90.00, 90.00, 90.00 degrees
Last column: nearest neighbours and their distance in Å.
Element x y z (fractional)
Ac 0.0440 0.2500 0.1483  2 Os 3.03-3.11
Ac 0.4560 0.7500 0.6483  2 Os 3.03-3.11
Ac 0.5440 0.2500 0.3517  2 Os 3.03-3.11
Ac 0.9560 0.7500 0.8517  2 Os 3.03-3.11
La 0.1706 0.0725 0.6733  2 Os 2.87-2.96
La 0.1706 0.4275 0.6733  2 Os 2.87-2.96
La 0.3294 0.5725 0.1733  2 Os 2.87-2.96
La 0.3294 0.9275 0.1733  2 Os 2.87-2.96
La 0.6706 0.0725 0.8267  2 Os 2.87-2.96
La 0.6706 0.4275 0.8267  2 Os 2.87-2.96
La 0.8294 0.5725 0.3267  2 Os 2.87-2.96
La 0.8294 0.9275 0.3267  2 Os 2.87-2.96
Os 0.1106 0.7500 0.4203  4 La 2.87-2.96, 2 Ac 3.03-3.11
Os 0.3894 0.2500 0.9203  4 La 2.87-2.96, 2 Ac 3.03-3.11
Os 0.6106 0.7500 0.0797  4 La 2.87-2.96, 2 Ac 3.03-3.11
Os 0.8894 0.2500 0.5797  4 La 2.87-2.96, 2 Ac 3.03-3.11



10.
Here is a relaxed structure of AcLaOs from Alexandria. Energies are from PBE.

Output
* excess energy over the best structure of this formula in the dataset: 0.15 eV per formula unit
* formation energy from the elements: 0.011 eV/atom
* DOS(E_F): 5.41 states/eV per cell
* energy: -6.745 eV per atom
* total magnetic moment: 0.00 μB per formula unit

Cell lengths 7.2620, 6.2304, 6.0432 Å; angles 72.53, 54.92, 52.54 degrees
Last column: nearest neighbours and their distance in Å.
Element x y z (fractional)
Ac 0.1883 0.8117 0.1883  4 Os 3.18
Ac 0.8117 0.1883 0.8117  4 Os 3.18
La 0.3087 0.3087 0.6913  4 Os 3.08
La 0.6913 0.6913 0.3087  4 Os 3.08
Os 0.2500 0.2500 0.2500  4 La 3.08, 4 Ac 3.18, 2 Os 3.36
Os 0.7500 0.7500 0.7500  4 La 3.08, 4 Ac 3.18, 2 Os 3.36



11.
Here is a relaxed structure of AcLa2Os from Alexandria. Energies are from PBE.

Output
* excess energy over the best structure of this formula in the dataset: 0.11 eV per formula unit
* formation energy from the elements: -0.097 eV/atom
* DOS(E_F): 9.29 states/eV per cell
* energy: -6.395 eV per atom
* total magnetic moment: 0.00 μB per formula unit

Cell lengths 4.1087, 9.8893, 6.6831 Å; angles 90.00, 107.90, 90.00 degrees
Last column: nearest neighbours and their distance in Å.
Element x y z (fractional)
Ac 0.0807 0.2500 0.1624  2 Os 3.07
Ac 0.9193 0.7500 0.8376  2 Os 3.07
La 0.3534 0.0729 0.7069  2 Os 2.95
La 0.3534 0.4271 0.7069  2 Os 2.95
La 0.6466 0.5729 0.2931  2 Os 2.95
La 0.6466 0.9271 0.2931  2 Os 2.95
Os 0.2398 0.7500 0.4789  4 La 2.95, 2 Ac 3.07
Os 0.7602 0.2500 0.5211  4 La 2.95, 2 Ac 3.07



12.
Here is a relaxed structure of Ac2LaOs from Alexandria. Energies are from PBE.

Output
* excess energy over the best structure of this formula in the dataset: 0.00 eV per formula unit
* formation energy from the elements: -0.081 eV/atom
* DOS(E_F): 3.43 states/eV per cell
* energy: -6.174 eV per atom
* total magnetic moment: 0.00 μB per formula unit

Cell lengths 7.2191, 7.2191, 7.2191 Å; angles 144.36, 133.88, 59.61 degrees
Last column: nearest neighbours and their distance in Å.
Element x y z (fractional)
Ac 0.1584 0.1584 0.0000  2 Os 2.97
Ac 0.8416 0.8416 0.0000  2 Os 2.97
La 0.5000 0.5000 0.0000  2 Os 2.83
Os 0.0000 0.5000 0.5000  2 La 2.83, 4 Ac 2.97



Please write out number 5 again, unchanged.
Here is a relaxed structure of Ac3La3Os2 from Alexandria. Energies are from PBE.

Output
* formation energy from the elements: -0.086 eV/atom
* DOS(E_F): 28.71 states/eV per cell
* energy: -6.282 eV per atom
* total magnetic moment: 0.00 μB per formula unit

Cell lengths 10.7214, 10.7214, 10.7214 Å; angles 83.91, 83.91, 83.91 degrees
Last column: nearest neighbours and their distance in Å.
Element x y z (fractional)
Ac 0.0841 0.2577 0.9084  3 Os 3.07-3.10
Ac 0.0916 0.9159 0.7423  3 Os 3.07-3.10
Ac 0.2522 0.4246 0.5822  1 Os 2.86
Ac 0.2577 0.9084 0.0841  3 Os 3.07-3.10
Ac 0.4178 0.7478 0.5754  1 Os 2.86
Ac 0.4246 0.5822 0.2522  1 Os 2.86
Ac 0.5754 0.4178 0.7478  1 Os 2.86
Ac 0.5822 0.2522 0.4246  1 Os 2.86
Ac 0.7423 0.0916 0.9159  3 Os 3.07-3.10
Ac 0.7478 0.5754 0.4178  1 Os 2.86
Ac 0.9084 0.0841 0.2577  3 Os 3.07-3.10
Ac 0.9159 0.7423 0.0916  3 Os 3.07-3.10
La 0.0741 0.7353 0.4048  2 Os 2.81-2.83
La 0.0910 0.4086 0.2527  2 Os 2.78-2.79
La 0.2527 0.0910 0.4086  2 Os 2.78-2.79
La 0.2647 0.5952 0.9259  2 Os 2.81-2.83
La 0.4048 0.0741 0.7353  2 Os 2.81-2.83
La 0.4086 0.2527 0.0910  2 Os 2.78-2.79
La 0.5914 0.7473 0.9090  2 Os 2.78-2.79
La 0.5952 0.9259 0.2647  2 Os 2.81-2.83
La 0.7353 0.4048 0.0741  2 Os 2.81-2.83
La 0.7473 0.9090 0.5914  2 Os 2.78-2.79
La 0.9090 0.5914 0.7473  2 Os 2.78-2.79
La 0.9259 0.2647 0.5952  2 Os 2.81-2.83
Os 0.1729 0.1729 0.1729  3 La 2.78, 3 Ac 3.10
Os 0.1736 0.1765 0.6438  3 La 2.79-2.83, 3 Ac 2.86-3.08
Os 0.1765 0.6438 0.1736  3 La 2.79-2.83, 3 Ac 2.86-3.08
Os 0.3562 0.8264 0.8235  3 La 2.79-2.83, 3 Ac 2.86-3.08
Os 0.6438 0.1736 0.1765  3 La 2.79-2.83, 3 Ac 2.86-3.08
Os 0.8235 0.3562 0.8264  3 La 2.79-2.83, 3 Ac 2.86-3.08
Os 0.8264 0.8235 0.3562  3 La 2.79-2.83, 3 Ac 2.86-3.08
Os 0.8271 0.8271 0.8271  3 La 2.78, 3 Ac 3.10